Entry 1:
Material: BeNiCl
Method: DFT, PBE
State: optimized geometry

Summary:
The calculation puts the density of states at the Fermi level at 0.69 states/eV per atom. The symmetry is P3m1. As for the uncorrected formation energy: -11 kJ/mol of formula units. Its final energy is -3.821 eV/atom. The size of the total moment is 0.00 μB/atom.

abc: 2.969 2.969 5.195
angles: 90.00 90.00 120.00
Element x y z (fractional)
Be1 0.000 0.000 0.855
Ni1 0.667 0.333 0.140
Cl1 0.667 0.333 0.597

=====

Entry 2:
Material: Pm3Ga6Pt5
Method: DFT, PBE
State: optimized geometry

Summary:
The calculation puts the density of states at the Fermi level at 0.53 states/eV per atom. The symmetry is Pmmn. The value obtained for the formation energy is -0.96 eV/atom. Its final energy is -5.429 eV/atom. The size of the total moment is 0.00 μB/atom.

abc: 4.341 9.340 13.050
angles: 90.00 90.00 90.00
Element x y z (fractional)
Ga1 0.000 0.043 0.500
Ga2 0.000 0.424 0.500
Ga3 0.000 0.977 0.847
Ga4 0.500 0.023 0.653
Ga5 0.500 0.405 0.179
Ga6 0.500 0.023 0.347
Ga7 0.000 0.595 0.321
Ga8 0.000 0.595 0.679
Ga9 0.000 0.977 0.153
Ga10 0.500 0.576 0.000
Ga11 0.500 0.405 0.821
Ga12 0.500 0.957 0.000
Pt1 0.500 0.126 0.843
Pt2 0.500 0.126 0.157
Pt3 0.000 0.874 0.343
Pt4 0.500 0.206 0.500
Pt5 0.500 0.469 0.617
Pt6 0.000 0.794 0.000
Pt7 0.000 0.531 0.883
Pt8 0.500 0.469 0.383
Pt9 0.000 0.531 0.117
Pt10 0.000 0.874 0.657
Pm1 0.000 0.249 0.000
Pm2 0.500 0.749 0.802
Pm3 0.000 0.251 0.698
Pm4 0.500 0.751 0.500
Pm5 0.000 0.251 0.302
Pm6 0.500 0.749 0.198